1.
Computed, not measured: Li4ZrPa3Te8 after structural relaxation at the PBE-GGA level of DFT.

```
data_Li4ZrPa3Te8
_chemical_formula_sum 'Li4 Zr1 Pa3 Te8'
_space_group_name_H-M_alt 'P 1'
_space_group_IT_number 1
_cell_length_a 8.299
_cell_length_b 8.800
_cell_length_c 8.299
_cell_angle_alpha 118.15
_cell_angle_beta 120.00
_cell_angle_gamma 90.00
loop_
_space_group_symop_operation_xyz
'x,y,z'
loop_
_atom_site_label
_atom_site_fract_x
_atom_site_fract_y
_atom_site_fract_z
Li1 0.500 0.000 0.000
Li2 0.500 0.000 0.500
Li3 0.000 0.000 0.000
Li4 0.000 0.000 0.500
Pa1 0.000 0.500 0.500
Pa2 0.500 0.500 0.500
Pa3 0.500 0.500 0.000
Te1 0.244 0.231 0.487
Te2 0.764 0.759 0.012
Te3 0.248 0.759 0.495
Te4 0.752 0.241 0.505
Te5 0.756 0.769 0.513
Te6 0.752 0.241 0.988
Te7 0.248 0.759 0.012
Te8 0.236 0.241 0.988
Zr1 0.000 0.500 0.000
```

Properties
Formation energy without anion corrections = -862 meV/atom
Energy = -5.226 eV/atom

=====

2.
Computed, not measured: LiCuSb2 after structural relaxation at the PBE-GGA level of DFT.

```
data_LiCuSb2
_chemical_formula_sum 'Li1 Cu1 Sb2'
_space_group_name_H-M_alt 'P 1'
_space_group_IT_number 1
_cell_length_a 5.877
_cell_length_b 5.877
_cell_length_c 5.877
_cell_angle_alpha 140.04
_cell_angle_beta 140.11
_cell_angle_gamma 57.74
loop_
_space_group_symop_operation_xyz
'x,y,z'
loop_
_atom_site_label
_atom_site_fract_x
_atom_site_fract_y
_atom_site_fract_z
Sb1 0.727 0.227 0.500
Sb2 0.989 0.989 0.000
Li1 0.242 0.742 0.500
Cu1 0.542 0.542 0.000
```

Properties
Formation energy without anion corrections = -41 meV/atom
Energy = -3.605 eV/atom

=====

3.
Computed, not measured: Pr7Y3Mg after structural relaxation at the PBE-GGA level of DFT.

```
data_Pr7Y3Mg
_chemical_formula_sum 'Pr7 Y3 Mg1'
_space_group_name_H-M_alt 'P 1'
_space_group_IT_number 1
_cell_length_a 8.758
_cell_length_b 7.198
_cell_length_c 7.198
_cell_angle_alpha 120.00
_cell_angle_beta 90.00
_cell_angle_gamma 90.00
loop_
_space_group_symop_operation_xyz
'x,y,z'
loop_
_atom_site_label
_atom_site_fract_x
_atom_site_fract_y
_atom_site_fract_z
Pr1 0.117 0.667 0.333
Pr2 0.452 0.831 0.663
Pr3 0.114 0.167 0.335
Pr4 0.452 0.337 0.169
Pr5 0.114 0.167 0.833
Pr6 0.452 0.831 0.169
Pr7 0.114 0.665 0.833
Y1 0.782 0.501 0.001
Y2 0.782 0.501 0.499
Y3 0.782 0.999 0.499
Mg1 0.453 0.333 0.667
```

Properties
Formation energy = 16.7 kJ per mole of atoms
Energy = -4.776 eV/atom